# 1
CoPtS4 | PBE | relaxed

a b c (Å): 11.466 3.489 6.045
angles (deg): 90.00 121.70 90.00
Atoms (fractional coordinates):
Co (0.000, 0.000, 0.000)
Co (0.500, 0.500, 0.000)
Pt (0.000, 0.500, 0.500)
Pt (0.500, 0.000, 0.500)
S (0.117, 0.500, 0.965)
S (0.122, 0.000, 0.438)
S (0.378, 0.500, 0.562)
S (0.383, 0.000, 0.035)
S (0.617, 0.000, 0.965)
S (0.622, 0.500, 0.438)
S (0.878, 0.000, 0.562)
S (0.883, 0.500, 0.035)

Results
size of the total moment = 0.000 μB per atom
offset from the most stable computed form = 4 meV per atom
uncorrected formation energy = -0.29 eV/atom



# 2
Tb3PrRu | PBE | relaxed

a b c (Å): 7.145 7.145 11.079
angles (deg): 90.28 90.28 31.18
Atoms (fractional coordinates):
Tb (0.059, 0.059, 0.125)
Tb (0.223, 0.223, 0.860)
Tb (0.435, 0.435, 0.344)
Tb (0.565, 0.565, 0.656)
Tb (0.777, 0.777, 0.140)
Tb (0.941, 0.941, 0.875)
Pr (0.172, 0.172, 0.410)
Pr (0.828, 0.828, 0.590)
Ru (0.409, 0.409, 0.078)
Ru (0.591, 0.591, 0.922)

Results
size of the total moment = 0.000 μB per atom
formation enthalpy at 0 K = -16 kJ/mol of atoms
offset from the most stable computed form = 0 meV per atom



# 3
TlCr2Ag | PBE | relaxed

a b c (Å): 3.033 3.033 26.752
angles (deg): 90.00 90.00 120.00
Atoms (fractional coordinates):
Tl (0.000, 0.000, 0.000)
Tl (0.333, 0.667, 0.667)
Tl (0.667, 0.333, 0.333)
Cr (0.000, 0.000, 0.241)
Cr (0.000, 0.000, 0.518)
Cr (0.333, 0.667, 0.185)
Cr (0.333, 0.667, 0.908)
Cr (0.667, 0.333, 0.575)
Cr (0.667, 0.333, 0.852)
Ag (0.000, 0.000, 0.766)
Ag (0.333, 0.667, 0.433)
Ag (0.667, 0.333, 0.100)

Results
size of the total moment = 0.014 μB per atom
formation enthalpy at 0 K = 53 kJ/mol of atoms



# 4
La2SmP2Br2 | PBE | relaxed

a b c (Å): 5.381 5.381 15.537
angles (deg): 90.00 90.00 90.00
Atoms (fractional coordinates):
La (0.000, 0.000, 0.105)
La (0.000, 0.000, 0.895)
La (0.500, 0.500, 0.395)
La (0.500, 0.500, 0.605)
Sm (0.000, 0.000, 0.500)
Sm (0.500, 0.500, 0.000)
P (0.000, 0.500, 0.000)
P (0.000, 0.500, 0.500)
P (0.500, 0.000, 0.000)
P (0.500, 0.000, 0.500)
Br (0.000, 0.000, 0.304)
Br (0.000, 0.000, 0.696)
Br (0.500, 0.500, 0.196)
Br (0.500, 0.500, 0.804)

Results
size of the total moment = 0.118 μB per atom
uncorrected formation energy = -1.38 eV/atom